<w>
A plane-wave DFT calculation with GGA-PBE was carried out for a relaxed RhAuOF2 crystal.

Cell and atoms, written as CIF:
```
data_RhAuOF2
_chemical_formula_sum 'Rh1 Au1 O1 F2'
_space_group_name_H-M_alt 'P 4/m m m'
_space_group_IT_number 123
_space_group_name_Hall '-P 4 2'
_cell_length_a 4.4287
_cell_length_b 4.4287
_cell_length_c 4.0094
_cell_angle_alpha 90.00
_cell_angle_beta 90.00
_cell_angle_gamma 90.00
loop_
_atom_site_label
_atom_site_type_symbol
_atom_site_fract_x
_atom_site_fract_y
_atom_site_fract_z
Rh1 Rh 0.0000 0.0000 0.0000
Au1 Au 0.5000 0.5000 0.5000
O1 O 0.5000 0.5000 0.0000
F1 F 0.0000 0.5000 0.5000
```



<x>
A plane-wave DFT calculation with GGA-PBE was carried out for a relaxed RhAuOF2 crystal.

Cell and atoms, written as CIF:
```
data_RhAuOF2
_chemical_formula_sum 'Rh1 Au1 O1 F2'
_space_group_name_H-M_alt 'P 4/m m m'
_space_group_IT_number 123
_space_group_name_Hall '-P 4 2'
_cell_length_a 4.3424
_cell_length_b 4.3424
_cell_length_c 3.7309
_cell_angle_alpha 90.00
_cell_angle_beta 90.00
_cell_angle_gamma 90.00
loop_
_atom_site_label
_atom_site_type_symbol
_atom_site_fract_x
_atom_site_fract_y
_atom_site_fract_z
Rh1 Rh 0.0000 0.0000 0.0000
Au1 Au 0.5000 0.5000 0.5000
O1 O 0.0000 0.0000 0.5000
F1 F 0.0000 0.5000 0.0000
```



Name the least stable of them. <w>.



<w>
A plane-wave DFT calculation with GGA-PBE was carried out for a relaxed RuAuOF2 crystal.

Cell and atoms, written as CIF:
```
data_RuAuOF2
_chemical_formula_sum 'Ru1 Au1 O1 F2'
_space_group_name_H-M_alt 'P 4/m m m'
_space_group_IT_number 123
_space_group_name_Hall '-P 4 2'
_cell_length_a 4.4393
_cell_length_b 4.4393
_cell_length_c 4.0322
_cell_angle_alpha 90.00
_cell_angle_beta 90.00
_cell_angle_gamma 90.00
loop_
_atom_site_label
_atom_site_type_symbol
_atom_site_fract_x
_atom_site_fract_y
_atom_site_fract_z
Ru1 Ru 0.0000 0.0000 0.0000
Au1 Au 0.5000 0.5000 0.5000
O1 O 0.5000 0.5000 0.0000
F1 F 0.0000 0.5000 0.5000
```



<x>
A plane-wave DFT calculation with GGA-PBE was carried out for a relaxed RuAuOF2 crystal.

Cell and atoms, written as CIF:
```
data_RuAuOF2
_chemical_formula_sum 'Ru1 Au1 O1 F2'
_space_group_name_H-M_alt 'P 4/m m m'
_space_group_IT_number 123
_space_group_name_Hall '-P 4 2'
_cell_length_a 4.3508
_cell_length_b 4.3508
_cell_length_c 3.6900
_cell_angle_alpha 90.00
_cell_angle_beta 90.00
_cell_angle_gamma 90.00
loop_
_atom_site_label
_atom_site_type_symbol
_atom_site_fract_x
_atom_site_fract_y
_atom_site_fract_z
Ru1 Ru 0.0000 0.0000 0.0000
Au1 Au 0.5000 0.5000 0.5000
O1 O 0.0000 0.0000 0.5000
F1 F 0.0000 0.5000 0.0000
```



Name the least stable of them. <w>.